*P*
VASP calculation (PBE) on an optimized crystal structure of TiBr2F.

Its mass density is 4.045 g/cm³. The density of states at the Fermi level is 11.8 states/eV per cell.

The space group is I-42d (No. 122) and the conventional cell measures 9.693, 9.693 and 3.961 Å, with angles of 90.00, 90.00 and 90.00 degrees. The asymmetric unit holds Ti at (0.000, 0.000, 0.000), Br at (0.087, 0.750, 0.125) and F at (0.000, 0.000, 0.500).

***

*Q*
VASP calculation (PBE) on an optimized crystal structure of TiBr2F.

Its mass density is 3.833 g/cm³. The density of states at the Fermi level is 16.0 states/eV per cell.

The space group is R-3m (No. 166, hexagonal axes) and the conventional cell measures 3.7319, 3.7319 and 24.4238 Å, with angles of 90.00, 90.00 and 120.00 degrees. The asymmetric unit holds Ti at (0.0000, 0.0000, 0.0000), Br at (0.0000, 0.0000, 0.0938) and F at (0.0000, 0.0000, 0.5000).

***

*R*
VASP calculation (PBE) on an optimized crystal structure of TiBr2F.

Its mass density is 4.284 g/cm³. The density of states at the Fermi level is 5.4 states/eV per cell.

The space group is R-3m (No. 166, hexagonal axes) and the conventional cell measures 3.5856, 3.5856 and 23.6714 Å, with angles of 90.00, 90.00 and 120.00 degrees. The asymmetric unit holds Ti at (0.0000, 0.0000, 0.0000), Br at (0.0000, 0.0000, 0.4009) and F at (0.0000, 0.0000, 0.5000).

***

*P* is favored, and the nearest alternative lies 0.779 eV/atom above it.

***

*P*
VASP calculation (PBE) on an optimized crystal structure of Ti2BrF2.

Its mass density is 4.474 g/cm³. The density of states at the Fermi level is 4.4 states/eV per cell.

The space group is P4/mbm (No. 127) and the conventional cell measures 7.101, 7.101 and 3.145 Å, with angles of 90.00, 90.00 and 90.00 degrees. The asymmetric unit holds Ti at (0.122, 0.378, 0.000), Br at (0.000, 0.000, 0.500) and F at (0.113, 0.613, 0.500).

***

*Q*
VASP calculation (PBE) on an optimized crystal structure of Ti2BrF2.

Its mass density is 4.806 g/cm³. The density of states at the Fermi level is 4.8 states/eV per cell.

The space group is I4/mmm (No. 139) and the conventional cell measures 3.838, 3.838 and 10.024 Å, with angles of 90.00, 90.00 and 90.00 degrees. The asymmetric unit holds Ti at (0.000, 0.500, 0.250), Br at (0.000, 0.000, 0.000) and F at (0.000, 0.000, 0.364).

***

*Q* is favored, and the nearest alternative lies 0.251 eV/atom above it.

***

*P*
VASP calculation (PBE) on an optimized crystal structure of TlBrF3.

Its mass density is 6.291 g/cm³. The density of states at the Fermi level is 9.0 states/eV per cell.

The space group is Pm-3m (No. 221) and the conventional cell measures 4.483, 4.483 and 4.483 Å, with angles of 90.00, 90.00 and 90.00 degrees. The asymmetric unit holds Tl at (0.000, 0.000, 0.000), Br at (0.500, 0.500, 0.500) and F at (0.000, 0.000, 0.500).

***

*Q*
VASP calculation (PBE) on an optimized crystal structure of TlBrF3.

Its mass density is 5.801 g/cm³. The density of states at the Fermi level is 1.5 states/eV per cell.

The space group is Pm-3m (No. 221) and the conventional cell measures 4.606, 4.606 and 4.606 Å, with angles of 90.00, 90.00 and 90.00 degrees. The asymmetric unit holds Tl at (0.000, 0.000, 0.000), Br at (0.500, 0.500, 0.500) and F at (0.000, 0.500, 0.500).

***

*P* is favored, and the nearest alternative lies 0.178 eV/atom above it.

***

*P*
VASP calculation (PBE) on an optimized crystal structure of TlBrF3.

Its mass density is 5.477 g/cm³. The density of states at the Fermi level is 0.1 states/eV per cell.

The space group is Cc (No. 9) and the conventional cell measures 10.927, 5.950 and 6.383 Å, with angles of 90.00, 94.23 and 90.00 degrees. The asymmetric unit holds Tl at (0.000, 0.249, 0.000), Br at (0.242, 0.205, 0.975), F at (0.026, 0.452, 0.294), F at (0.305, 0.174, 0.486) and F at (0.464, 0.465, 0.212).

***

*Q*
VASP calculation (PBE) on an optimized crystal structure of TlBrF3.

Its mass density is 6.329 g/cm³. The density of states at the Fermi level is 2.5 states/eV per cell.

The space group is P2_1/m (No. 11) and the conventional cell measures 4.887, 7.009 and 5.405 Å, with angles of 90.00, 104.70 and 90.00 degrees. The asymmetric unit holds Tl at (0.106, 0.250, 0.013), Br at (0.405, 0.250, 0.508), F at (0.079, 0.750, 0.418) and F at (0.234, 0.547, 0.937).

***

*P* is favored, and the nearest alternative lies 0.013 eV/atom above it.

***

*P*
VASP calculation (PBE) on an optimized crystal structure of TlBrF.

Its mass density is 6.204 g/cm³. The density of states at the Fermi level is 0.3 states/eV per cell.

The space group is P-1 (No. 2) and the conventional cell measures 4.142, 4.161 and 4.862 Å, with angles of 75.67, 89.16 and 89.56 degrees. The asymmetric unit holds Tl at (0.000, 0.000, 0.000), Br at (0.500, 0.500, 0.500) and F at (0.500, 0.500, 0.000).

***

*Q*
VASP calculation (PBE) on an optimized crystal structure of TlBrF.

Its mass density is 7.088 g/cm³. The density of states at the Fermi level is 3.1 states/eV per cell.

The space group is P3m1 (No. 156) and the conventional cell measures 4.1955, 4.1955 and 4.6608 Å, with angles of 90.00, 90.00 and 120.00 degrees. The asymmetric unit holds Tl at (0.0000, 0.0000, 0.0000), Br at (0.3333, 0.6667, 0.4075) and F at (0.6667, 0.3333, 0.8886).

***

*Q* is favored, and the nearest alternative lies 0.087 eV/atom above it.

***

*P*
VASP calculation (PBE) on an optimized crystal structure of Tl3Br2F.

Its mass density is 6.491 g/cm³. The density of states at the Fermi level is 0.0 states/eV per cell.

The space group is C2/c (No. 15) and the conventional cell measures 14.287, 6.674 and 8.942 Å, with angles of 90.00, 108.13 and 90.00 degrees. The asymmetric unit holds Tl at (0.000, 0.044, 0.250), Tl at (0.138, 0.499, 0.571), Br at (0.183, 0.004, 0.091) and F at (0.000, 0.414, 0.250).

***

*Q*
VASP calculation (PBE) on an optimized crystal structure of Tl3Br2F.

Its mass density is 6.357 g/cm³. The density of states at the Fermi level is 0.0 states/eV per cell.

The space group is Pnma (No. 62) and the conventional cell measures 12.799, 4.563 and 14.168 Å, with angles of 90.00, 90.00 and 90.00 degrees. The asymmetric unit holds Tl at (0.066, 0.250, 0.131), Tl at (0.127, 0.750, 0.573), Tl at (0.234, 0.250, 0.809), Br at (0.003, 0.750, 0.300), Br at (0.193, 0.750, 0.001) and F at (0.247, 0.250, 0.207).

***

*Q* is favored, and the nearest alternative lies 0.031 eV/atom above it.